# 1
A plane-wave DFT calculation with GGA-PBE was carried out for crystalline LaDyPtAu at its relaxed geometry.

Summary:
Crystal system: cubic
Formation energy from the elements: -0.956 eV per atom
Uncorrected energy: -5.668 eV per atom
Polymorph energy (0 for the lowest one): 66 meV per atom

Geometry as CIF:
```
data_LaDyPtAu
_space_group_name_H-M_alt 'F -4 3 m'
_space_group_IT_number 216
_space_group_name_Hall 'F -4 2 3'
_cell_length_a 7.2812
_cell_length_b 7.2812
_cell_length_c 7.2812
_cell_angle_alpha 90.00
_cell_angle_beta 90.00
_cell_angle_gamma 90.00
loop_
_atom_site_label
_atom_site_type_symbol
_atom_site_fract_x
_atom_site_fract_y
_atom_site_fract_z
La1 La 0.0000 0.0000 0.0000
Dy1 Dy 0.0000 0.0000 0.5000
Pt1 Pt 0.2500 0.2500 0.2500
Au1 Au 0.2500 0.2500 0.7500
```


# 2
A plane-wave DFT calculation with GGA-PBE was carried out for crystalline MnMo2W at its relaxed geometry.

Summary:
Crystal system: cubic
Formation energy from the elements: 0.112 eV per atom
Uncorrected energy: -10.835 eV per atom
Polymorph energy (0 for the lowest one): 57 meV per atom

Geometry as CIF:
```
data_MnMo2W
_space_group_name_H-M_alt 'F -4 3 m'
_space_group_IT_number 216
_space_group_name_Hall 'F -4 2 3'
_cell_length_a 6.1991
_cell_length_b 6.1991
_cell_length_c 6.1991
_cell_angle_alpha 90.00
_cell_angle_beta 90.00
_cell_angle_gamma 90.00
loop_
_atom_site_label
_atom_site_type_symbol
_atom_site_fract_x
_atom_site_fract_y
_atom_site_fract_z
Mn1 Mn 0.0000 0.0000 0.0000
Mo1 Mo 0.0000 0.0000 0.5000
Mo2 Mo 0.2500 0.2500 0.7500
W1 W 0.2500 0.2500 0.2500
```


# 3
A plane-wave DFT calculation with GGA-PBE was carried out for crystalline AcTb6NdDy2 at its relaxed geometry.

Summary:
Crystal system: monoclinic
Formation energy from the elements: 0.130 eV per atom
Uncorrected energy: -4.457 eV per atom

Geometry as CIF:
```
data_AcTb6NdDy2
_space_group_name_H-M_alt 'C 1 2/c 1'
_space_group_IT_number 15
_space_group_name_Hall '-C 2yc'
_cell_length_a 9.2513
_cell_length_b 15.3351
_cell_length_c 9.6341
_cell_angle_alpha 90.00
_cell_angle_beta 95.51
_cell_angle_gamma 90.00
loop_
_atom_site_label
_atom_site_type_symbol
_atom_site_fract_x
_atom_site_fract_y
_atom_site_fract_z
Ac1 Ac 0.0000 0.0305 0.2500
Tb1 Tb 0.0636 0.1875 0.9427
Tb2 Tb 0.1002 0.3904 0.1175
Tb3 Tb 0.2109 0.2312 0.3209
Nd1 Nd 0.0000 0.4098 0.7500
Dy1 Dy 0.2454 0.4434 0.4521
```


What is the formula in the first record? LaDyPtAu